1.
{
  "formula": "Si2PN",
  "functional": "PBE-GGA",
  "state": "relaxed",
  "space_group": "I-42d, No. 122",
  "e_tot_ev_per_fu": -24.20,
  "relative_energy_ev_per_atom": 0.000,
  "e_form_raw_mev_per_atom": 95,
  "cell": [[4.500, 0.000, 0.000], [0.000, 4.500, 0.000], [2.250, 2.250, 5.429]],
  "species": ["P", "P", "Si", "Si", "Si", "Si", "N", "N"],
  "frac_coords": [[0.000, 0.000, 0.000], [0.750, 0.250, 0.500], [0.541, 0.125, 0.250], [0.209, 0.625, 0.250], [0.375, 0.459, 0.750], [0.875, 0.791, 0.750], [0.500, 0.500, 0.000], [0.250, 0.750, 0.500]]
}

2.
{
  "formula": "LiTbSnPd",
  "functional": "PBE-GGA",
  "state": "relaxed",
  "space_group": "F-43m, No. 216",
  "e_tot_ev_per_fu": -18.95,
  "delta_e_f_mev_per_atom": -803,
  "cell": [[4.775, 0.000, 0.000], [2.387, 4.135, 0.000], [2.387, 1.378, 3.899]],
  "species": ["Tb", "Sn", "Pd", "Li"],
  "frac_coords": [[0.000, 0.000, 0.000], [0.500, 0.500, 0.500], [0.750, 0.750, 0.750], [0.250, 0.250, 0.250]]
}

3.
{
  "formula": "Cd2ReAs",
  "functional": "PBE-GGA",
  "state": "relaxed",
  "space_group": "P4/mmm, No. 123",
  "e_tot_ev_per_fu": -16.54,
  "delta_e_f_mev_per_atom": 596,
  "cell": [[-2.603, -0.983, -0.453], [0.625, -2.329, 1.460], [-3.028, 4.279, 8.121]],
  "species": ["Re", "As", "Cd", "Cd"],
  "frac_coords": [[0.500, 0.500, 0.250], [0.500, 0.500, 0.750], [0.000, 0.000, 0.019], [0.000, 0.000, 0.481]]
}

4.
{
  "formula": "LiMg3Pb2",
  "functional": "PBE-GGA",
  "state": "relaxed",
  "space_group": "Ibam, No. 72",
  "e_tot_ev_per_fu": -14.78,
  "relative_energy_ev_per_atom": 0.000,
  "delta_e_f_mev_per_atom": -112,
  "cell": [[0.039, 3.003, -5.347], [-4.729, -3.443, -1.968], [-2.595, 5.373, 6.515]],
  "species": ["Li", "Li", "Mg", "Mg", "Mg", "Mg", "Mg", "Mg", "Pb", "Pb", "Pb", "Pb"],
  "frac_coords": [[0.000, 0.250, 0.000], [0.000, 0.750, 0.000], [0.438, 0.674, 0.348], [0.562, 0.326, 0.652], [0.090, 0.826, 0.652], [0.910, 0.174, 0.348], [0.500, 0.750, 0.000], [0.500, 0.250, 0.000], [0.367, 0.133, 0.265], [0.633, 0.867, 0.735], [0.102, 0.367, 0.735], [0.898, 0.633, 0.265]]
}

5.
{
  "formula": "AcLaPm2Dy5",
  "functional": "PBE-GGA",
  "state": "relaxed",
  "space_group": "I4/mcm, No. 140",
  "e_tot_ev_per_fu": -39.44,
  "delta_e_f_mev_per_atom": 234,
  "cell": [[-6.181, 6.133, -1.584], [-4.419, -5.762, -5.060], [1.240, -2.640, 9.663]],
  "species": ["Ac", "Ac", "La", "La", "Pm", "Pm", "Pm", "Pm", "Dy", "Dy", "Dy", "Dy", "Dy", "Dy", "Dy", "Dy", "Dy", "Dy"],
  "frac_coords": [[0.250, 0.250, 0.500], [0.750, 0.750, 0.500], [0.250, 0.750, 0.500], [0.750, 0.250, 0.500], [0.118, 0.382, 0.000], [0.618, 0.118, 0.000], [0.382, 0.882, 0.000], [0.882, 0.618, 0.000], [0.926, 0.426, 0.261], [0.665, 0.165, 0.739], [0.074, 0.574, 0.739], [0.165, 0.074, 0.739], [0.574, 0.665, 0.739], [0.835, 0.926, 0.261], [0.426, 0.335, 0.261], [0.335, 0.835, 0.261], [0.500, 0.500, 0.000], [0.000, 0.000, 0.000]]
}

6.
{
  "formula": "Co2Ge",
  "functional": "PBE-GGA",
  "state": "relaxed",
  "space_group": "Pnma, No. 62",
  "e_tot_ev_per_fu": -19.27,
  "delta_e_f_mev_per_atom": -148,
  "cell": [[3.827, 0.000, 0.000], [0.000, 5.040, 0.000], [0.000, 0.000, 7.220]],
  "species": ["Ge", "Ge", "Ge", "Ge", "Co", "Co", "Co", "Co", "Co", "Co", "Co", "Co"],
  "frac_coords": [[0.750, 0.296, 0.606], [0.250, 0.704, 0.394], [0.750, 0.796, 0.894], [0.250, 0.204, 0.106], [0.750, 0.962, 0.221], [0.250, 0.038, 0.779], [0.750, 0.462, 0.279], [0.250, 0.538, 0.721], [0.750, 0.826, 0.563], [0.250, 0.174, 0.437], [0.750, 0.326, 0.937], [0.250, 0.674, 0.063]]
}

7.
{
  "formula": "TeP2IO",
  "functional": "PBE-GGA",
  "state": "relaxed",
  "space_group": "P4/mmm, No. 123",
  "e_tot_ev_per_fu": -17.64,
  "relative_energy_ev_per_atom": 0.000,
  "e_form_raw_mev_per_atom": 565,
  "cell": [[5.258, 0.000, 0.000], [0.000, 5.258, 0.000], [0.000, 0.000, 4.017]],
  "species": ["I", "P", "P", "Te", "O"],
  "frac_coords": [[0.500, 0.500, 0.500], [0.000, 0.500, 0.000], [0.500, 0.000, 0.000], [0.000, 0.000, 0.000], [0.000, 0.000, 0.500]]
}

8.
{
  "formula": "Sr2ZnGaS5",
  "functional": "PBE-GGA",
  "state": "relaxed",
  "space_group": "Cmc2_1, No. 36",
  "e_tot_ev_per_fu": -38.97,
  "e_form_raw_mev_per_atom": -1186,
  "cell": [[3.910, 0.000, 0.000], [-1.955, 9.242, 0.000], [0.000, 0.000, 11.750]],
  "species": ["Sr", "Sr", "Sr", "Sr", "Zn", "Zn", "Ga", "Ga", "S", "S", "S", "S", "S", "S", "S", "S", "S", "S"],
  "frac_coords": [[0.887, 0.774, 0.793], [0.112, 0.225, 0.661], [0.113, 0.226, 0.293], [0.888, 0.775, 0.161], [0.761, 0.522, 0.524], [0.239, 0.478, 0.024], [0.566, 0.133, 0.953], [0.434, 0.867, 0.453], [0.360, 0.721, 0.981], [0.690, 0.380, 0.915], [0.515, 0.030, 0.779], [0.281, 0.562, 0.662], [0.959, 0.918, 0.555], [0.640, 0.279, 0.481], [0.310, 0.620, 0.415], [0.485, 0.970, 0.279], [0.719, 0.438, 0.162], [0.041, 0.082, 0.055]]
}